Entry a
# TlGe2C, optimized geometry, DFT PBE
# Density: 7.891 g/cm³
# Magnetization: 0.0 μB per formula unit
# V: 304 Å³/cell
# Crystal system: cubic
data_TlGe2C
_cell_length_a 6.7271
_cell_length_b 6.7271
_cell_length_c 6.7271
_cell_angle_alpha 90.00
_cell_angle_beta 90.00
_cell_angle_gamma 90.00
_space_group_name_H-M_alt 'F m -3 m'
_space_group_IT_number 225
_space_group_name_Hall '-F 4 2 3'
loop_
_atom_site_label
_atom_site_type_symbol
_atom_site_fract_x
_atom_site_fract_y
_atom_site_fract_z
Tl1 Tl 0.0000 0.0000 0.0000
Ge1 Ge 0.2500 0.2500 0.2500
C1 C 0.0000 0.0000 0.5000

Entry b
# TlGe2C, optimized geometry, DFT PBE
# Density: 7.430 g/cm³
# Magnetization: 0.0 μB per formula unit
# V: 323 Å³/cell
# Crystal system: tetragonal
data_TlGe2C
_cell_length_a 5.6524
_cell_length_b 5.6524
_cell_length_c 10.1192
_cell_angle_alpha 90.00
_cell_angle_beta 90.00
_cell_angle_gamma 90.00
_space_group_name_H-M_alt 'I -4 2 d'
_space_group_IT_number 122
_space_group_name_Hall 'I -4 2bw'
loop_
_atom_site_label
_atom_site_type_symbol
_atom_site_fract_x
_atom_site_fract_y
_atom_site_fract_z
Tl1 Tl 0.0000 0.0000 0.0000
Ge1 Ge 0.1492 0.2500 0.6250
C1 C 0.0000 0.0000 0.5000

Relative energies, unit meV per atom: entry a 868; entry b 0

Entry a
# TlGeC3, optimized geometry, DFT PBE
# Density: 7.612 g/cm³
# Magnetization: 0.0 μB per formula unit
# V: 68 Å³/cell
# Crystal system: cubic
data_TlGeC3
_cell_length_a 4.0875
_cell_length_b 4.0875
_cell_length_c 4.0875
_cell_angle_alpha 90.00
_cell_angle_beta 90.00
_cell_angle_gamma 90.00
_space_group_name_H-M_alt 'P m -3 m'
_space_group_IT_number 221
_space_group_name_Hall '-P 4 2 3'
loop_
_atom_site_label
_atom_site_type_symbol
_atom_site_fract_x
_atom_site_fract_y
_atom_site_fract_z
Tl1 Tl 0.0000 0.0000 0.0000
Ge1 Ge 0.5000 0.5000 0.5000
C1 C 0.0000 0.5000 0.5000

Entry b
# TlGeC3, optimized geometry, DFT PBE
# Density: 5.931 g/cm³
# Magnetization: 2.5 μB per formula unit
# V: 88 Å³/cell
# Crystal system: cubic
data_TlGeC3
_cell_length_a 4.4419
_cell_length_b 4.4419
_cell_length_c 4.4419
_cell_angle_alpha 90.00
_cell_angle_beta 90.00
_cell_angle_gamma 90.00
_space_group_name_H-M_alt 'P m -3 m'
_space_group_IT_number 221
_space_group_name_Hall '-P 4 2 3'
loop_
_atom_site_label
_atom_site_type_symbol
_atom_site_fract_x
_atom_site_fract_y
_atom_site_fract_z
Tl1 Tl 0.0000 0.0000 0.0000
Ge1 Ge 0.5000 0.5000 0.5000
C1 C 0.0000 0.0000 0.5000

Relative energies, unit meV per atom: entry a 0; entry b 928